Record 1
DFT (GGA-PBE) results for a relaxed CrOsRh2 crystal.

abc: 2.690 3.826 5.335
angles: 90.00 90.00 90.00
Sites, in units of the cell vectors:
1 Cr 0.500 0.500 0.250
2 Os 0.500 0.500 0.750
3 Rh 0.000 0.000 0.002
4 Rh 0.000 0.000 0.498

**DOS at the Fermi energy**: 0.90 states/eV per atom
**Excess energy over the best structure of this formula in the dataset**: 82 meV/atom
**Total energy**: -35.48 eV per cell
**Formation energy from the elements**: 0.02 eV/atom



Record 2
DFT (GGA-PBE) results for a relaxed AcGd2Er crystal.

abc: 3.705 3.705 10.201
angles: 90.00 90.00 90.00
Sites, in units of the cell vectors:
1 Ac 0.500 0.500 0.500
2 Gd 0.000 0.000 0.767
3 Gd 0.000 0.000 0.233
4 Er 0.500 0.500 0.000

**DOS at the Fermi energy**: 1.82 states/eV per atom
**Excess energy over the best structure of this formula in the dataset**: 7 meV/atom
**Total energy**: -36.62 eV per cell
**Formation energy from the elements**: 0.05 eV/atom



Record 3
DFT (GGA-PBE) results for a relaxed TcTeRu2 crystal.

abc: 4.063 2.928 5.705
angles: 70.83 90.00 90.00
Sites, in units of the cell vectors:
1 Ru 0.000 0.892 0.011
2 Ru 0.000 0.608 0.489
3 Tc 0.500 0.250 0.250
4 Te 0.500 0.750 0.750

**DOS at the Fermi energy**: 0.83 states/eV per atom
**Total energy**: -30.52 eV per cell
**Formation energy from raw total energies**: 0.38 eV per atom



Record 4
DFT (GGA-PBE) results for a relaxed Be2BN crystal.

abc: 2.695 2.968 8.026
angles: 88.63 82.03 65.20
Sites, in units of the cell vectors:
1 Be 0.526 0.205 0.209
2 Be 0.474 0.795 0.791
3 Be 0.805 0.313 0.584
4 Be 0.195 0.687 0.416
5 B 0.639 0.697 0.015
6 B 0.361 0.303 0.985
7 N 0.093 0.697 0.642
8 N 0.907 0.303 0.358

**DOS at the Fermi energy**: 0.11 states/eV per atom
**Excess energy over the best structure of this formula in the dataset**: 187 meV/atom
**Total energy**: -48.62 eV per cell
**Formation energy from raw total energies**: -0.46 eV per atom



Record 5
DFT (GGA-PBE) results for a relaxed Fe2TcSnN crystal.

abc: 3.922 3.922 4.077
angles: 90.00 90.00 90.00
Sites, in units of the cell vectors:
1 Fe 0.000 0.500 0.000
2 Fe 0.500 0.000 0.000
3 N 0.000 0.000 0.000
4 Sn 0.500 0.500 0.500
5 Tc 0.000 0.000 0.500

**DOS at the Fermi energy**: 1.14 states/eV per atom
**Total energy**: -39.56 eV per cell
**Formation energy from raw total energies**: 0.01 eV per atom



Record 6
DFT (GGA-PBE) results for a relaxed NpAl3Fe crystal.

abc: 3.265 8.229 11.867
angles: 90.00 90.00 90.00
Sites, in units of the cell vectors:
1 Np 0.750 0.876 0.981
2 Np 0.250 0.624 0.481
3 Np 0.750 0.376 0.519
4 Np 0.250 0.124 0.019
5 Al 0.250 0.559 0.077
6 Al 0.750 0.441 0.923
7 Al 0.250 0.059 0.423
8 Al 0.750 0.941 0.577
9 Al 0.250 0.423 0.734
10 Al 0.750 0.077 0.234
11 Al 0.250 0.923 0.766
12 Al 0.750 0.673 0.715
13 Al 0.250 0.327 0.285
14 Al 0.750 0.173 0.785
15 Al 0.750 0.577 0.266
16 Al 0.250 0.827 0.215
17 Fe 0.250 0.167 0.624
18 Fe 0.250 0.667 0.876
19 Fe 0.750 0.333 0.124
20 Fe 0.750 0.833 0.376

**DOS at the Fermi energy**: 0.71 states/eV per atom
**Total energy**: -133.91 eV per cell
**Formation energy from the elements**: -0.17 eV/atom



Record 7
DFT (GGA-PBE) results for a relaxed BeBr3 crystal.

abc: 4.845 4.845 4.845
angles: 90.00 90.00 90.00
Sites, in units of the cell vectors:
1 Be 0.000 0.000 0.000
2 Br 0.500 0.000 0.000
3 Br 0.000 0.500 0.000
4 Br 0.000 0.000 0.500

**DOS at the Fermi energy**: 0.86 states/eV per atom
**Excess energy over the best structure of this formula in the dataset**: 278 meV/atom
**Total energy**: -9.65 eV per cell
**Formation energy from raw total energies**: -0.23 eV per atom



Record 8
DFT (GGA-PBE) results for a relaxed YTa2Tc crystal.

abc: 4.729 4.729 4.729
angles: 60.00 60.00 60.00
Sites, in units of the cell vectors:
1 Y 0.000 0.000 0.000
2 Tc 0.500 0.500 0.500
3 Ta 0.250 0.250 0.250
4 Ta 0.750 0.750 0.750

**DOS at the Fermi energy**: 1.34 states/eV per atom
**Excess energy over the best structure of this formula in the dataset**: 236 meV/atom
**Total energy**: -39.42 eV per cell
**Formation energy from the elements**: 0.28 eV/atom



Record 9
DFT (GGA-PBE) results for a relaxed RbNd2AgBr8 crystal.

abc: 7.327 7.205 8.980
angles: 90.02 89.97 82.77
Sites, in units of the cell vectors:
1 Rb 0.000 0.000 0.500
2 Nd 0.500 0.500 0.759
3 Nd 0.500 0.500 0.241
4 Ag 0.000 0.000 0.000
5 Br 0.160 0.741 0.215
6 Br 0.636 0.722 0.000
7 Br 0.840 0.257 0.215
8 Br 0.840 0.259 0.785
9 Br 0.364 0.278 0.000
10 Br 0.160 0.743 0.785
11 Br 0.626 0.711 0.500
12 Br 0.374 0.289 0.500

**DOS at the Fermi energy**: 0.00 states/eV per atom
**Total energy**: -45.48 eV per cell
**Formation energy from raw total energies**: -1.56 eV per atom



Record 10
DFT (GGA-PBE) results for a relaxed Rb2BICl6 crystal.

abc: 7.727 7.727 7.845
angles: 60.50 60.50 90.00
Sites, in units of the cell vectors:
1 I 0.000 0.000 0.000
2 B 0.500 0.500 0.000
3 Rb 0.750 0.250 0.500
4 Rb 0.250 0.750 0.500
5 Cl 0.227 0.227 0.546
6 Cl 0.773 0.773 0.454
7 Cl 0.318 0.318 0.000
8 Cl 0.682 0.682 0.000
9 Cl 0.682 0.318 0.000
10 Cl 0.318 0.682 0.000

**DOS at the Fermi energy**: 0.00 states/eV per atom
**Total energy**: -29.97 eV per cell
**Formation energy from raw total energies**: -0.87 eV per atom



Record 11
DFT (GGA-PBE) results for a relaxed NaIrC3 crystal.

abc: 4.018 4.018 4.018
angles: 90.00 90.00 90.00
Sites, in units of the cell vectors:
1 Na 0.500 0.500 0.500
2 C 0.000 0.500 0.000
3 C 0.000 0.000 0.500
4 C 0.500 0.000 0.000
5 Ir 0.000 0.000 0.000

**DOS at the Fermi energy**: 0.77 states/eV per atom
**Excess energy over the best structure of this formula in the dataset**: 0 meV/atom
**Total energy**: -28.68 eV per cell
**Formation energy from the elements**: 1.83 eV/atom



Record 12
DFT (GGA-PBE) results for a relaxed AcAuO crystal.

abc: 4.109 4.109 9.824
angles: 90.03 102.06 119.94
Sites, in units of the cell vectors:
1 Ac 0.539 0.039 0.578
2 Ac 0.112 0.825 0.936
3 Au 0.942 0.240 0.181
4 Au 0.712 0.625 0.337
5 O 0.252 0.396 0.648
6 O 0.725 0.132 0.857

**Excess energy over the best structure of this formula in the dataset**: 53 meV/atom
**Total energy**: -36.32 eV per cell
**Formation energy from raw total energies**: -1.94 eV per atom



Record 13
DFT (GGA-PBE) results for a relaxed BaSrCu2 crystal.

abc: 6.698 6.698 6.698
angles: 140.45 140.45 57.17
Sites, in units of the cell vectors:
1 Ba 0.750 0.250 0.500
2 Cu 0.000 0.000 0.000
3 Cu 0.250 0.750 0.500
4 Sr 0.500 0.500 0.000

**DOS at the Fermi energy**: 0.76 states/eV per atom
**Excess energy over the best structure of this formula in the dataset**: 278 meV/atom
**Total energy**: -10.87 eV per cell
**Formation energy from the elements**: 0.23 eV/atom